DFT (PBE+U) results for a relaxed Li5Ni3Sb2O10 crystal.

Values from the calculation:
ρ ... 5179 kg/m³
Polymorph energy (0 for the lowest one) ... 1.0 kJ/mol of atoms
Crystal system ... triclinic
Total DFT energy (no corrections) ... -5.298 eV/atom
Magnetization ... 5.3 μB/cell
Space group ... P-1 (2)

The structure in CIF format:
```
data_Li5Ni3Sb2O10
_cell_length_a 5.280
_cell_length_b 8.086
_cell_length_c 10.767
_cell_angle_alpha 65.76
_cell_angle_beta 135.13
_cell_angle_gamma 140.43
_symmetry_space_group_name_H-M 'P 1'
_symmetry_Int_Tables_number 1
_symmetry_space_group_name_Hall 'P 1'
loop_
_atom_site_label
_atom_site_type_symbol
_atom_site_fract_x
_atom_site_fract_y
_atom_site_fract_z
O1 O 0.460 0.839 0.940
O2 O 0.503 0.929 0.658
O3 O 0.535 0.264 0.757
Li1 Li 0.004 0.734 0.387
O4 O 0.452 0.349 0.443
O5 O 0.548 0.651 0.557
Li2 Li 0.010 0.799 0.106
O6 O 0.540 0.161 0.060
Ni1 Ni 0.991 0.095 0.201
Sb1 Sb 0.031 0.600 0.708
Li3 Li 0.996 0.266 0.613
O7 O 0.465 0.736 0.243
O8 O 0.509 0.446 0.159
O9 O 0.497 0.071 0.342
Sb2 Sb 0.969 0.400 0.292
O10 O 0.491 0.554 0.841
Li4 Li 0.000 0.000 0.500
Li5 Li 0.990 0.201 0.894
Ni2 Ni 0.009 0.905 0.799
Ni3 Ni 0.000 0.500 0.000
```